1.
The following is a DFT calculation (PBE) of a relaxed structure of LaNd2Zn8.

a = 4.910 Å, b = 6.181 Å, c = 8.511 Å
α = 111.26°, β = 106.73°, γ = 90.10°
Sites, in units of the cell vectors:
1 Zn 0.879 0.652 0.756
2 Zn 0.754 0.500 0.000
3 Zn 0.698 0.198 0.396
4 Zn 0.877 0.105 0.756
5 Zn 0.302 0.802 0.604
6 Zn 0.123 0.895 0.244
7 Zn 0.121 0.348 0.244
8 Zn 0.246 0.500 0.000
9 La 0.500 0.000 0.000
10 Nd 0.695 0.695 0.390
11 Nd 0.305 0.305 0.610

Results
formation enthalpy at 0 K	-0.312	eV/atom

***

2.
The following is a DFT calculation (PBE) of a relaxed structure of BeHSe.

a = 5.032 Å, b = 5.960 Å, c = 5.959 Å
α = 75.64°, β = 90.00°, γ = 90.00°
Sites, in units of the cell vectors:
1 H 0.999 0.751 0.251
2 H 0.499 0.749 0.249
3 H 0.501 0.251 0.751
4 H 0.001 0.249 0.749
5 Be 0.250 0.329 0.829
6 Be 0.750 0.671 0.171
7 Be 0.750 0.171 0.671
8 Be 0.250 0.829 0.329
9 Se 0.750 0.282 0.282
10 Se 0.750 0.782 0.782
11 Se 0.250 0.218 0.218
12 Se 0.250 0.718 0.718

Results
relative energy among the computed polymorphs	273	meV per atom

***

3.
The following is a DFT calculation (PBE) of a relaxed structure of Na2DyInI6.

a = 8.122 Å, b = 8.121 Å, c = 8.805 Å
α = 62.53°, β = 62.53°, γ = 59.98°
Sites, in units of the cell vectors:
1 Dy 0.328 0.328 0.017
2 I 0.943 0.574 0.238
3 I 0.130 0.387 0.763
4 I 0.387 0.721 0.763
5 I 0.574 0.245 0.238
6 I 0.245 0.944 0.238
7 I 0.721 0.129 0.763
8 Na 0.516 0.516 0.453
9 Na 0.003 0.003 0.991
10 In 0.816 0.816 0.551

Results
formation energy from raw total energies	-1.14	eV per atom

***

4.
The following is a DFT calculation (PBE) of a relaxed structure of PrTmPdPt.

a = 3.813 Å, b = 4.532 Å, c = 5.709 Å
α = 90.00°, β = 109.51°, γ = 90.00°
Sites, in units of the cell vectors:
1 Tm 0.865 0.500 0.730
2 Pr 0.139 0.000 0.278
3 Pt 0.411 0.000 0.823
4 Pd 0.585 0.500 0.169

Results
formation enthalpy at 0 K	-1.033	eV/atom
relative energy among the computed polymorphs	0	meV per atom

***

5.
The following is a DFT calculation (PBE) of a relaxed structure of VBiH.

a = 3.615 Å, b = 3.615 Å, c = 7.858 Å
α = 90.00°, β = 90.00°, γ = 90.00°
Sites, in units of the cell vectors:
1 V 0.000 0.000 0.500
2 V 0.500 0.500 0.500
3 Bi 0.000 0.500 0.205
4 Bi 0.500 0.000 0.795
5 H 0.500 0.000 0.419
6 H 0.000 0.500 0.581

Results
relative energy among the computed polymorphs	0	meV per atom

***

6.
The following is a DFT calculation (PBE) of a relaxed structure of Nd3SmC8.

a = 6.449 Å, b = 6.450 Å, c = 6.450 Å
α = 68.56°, β = 74.39°, γ = 111.43°
Sites, in units of the cell vectors:
1 C 0.392 0.000 0.935
2 C 0.867 0.000 0.599
3 C 0.065 0.000 0.608
4 C 0.608 0.673 0.392
5 C 0.599 0.467 0.401
6 C 0.133 0.533 0.867
7 C 0.935 0.327 0.065
8 C 0.401 0.000 0.133
9 Nd 0.750 0.500 0.750
10 Nd 0.500 0.000 0.500
11 Nd 0.250 0.500 0.250
12 Sm 0.000 0.000 0.000

Results
formation enthalpy at 0 K	0.164	eV/atom